A PBEsol-optimized structure of ZrBeRu2C, computed with meta-GGA SCAN.

Results
Crystal system: tetragonal
E in eV/atom: -22.44

Cell lengths 4.3363, 4.3363, 3.3317 Å; angles 90.00, 90.00, 90.00 degrees
Space group P4/mmm (No. 123)
Unique sites:
Zr  0.0000  0.0000  0.0000 [1 per cell]
Be  0.5000  0.5000  0.5000 [1 per cell]
Ru  0.0000  0.5000  0.5000 [2 per cell]
C  0.5000  0.5000  0.0000 [1 per cell]

***

A PBEsol-optimized structure of CaTmPd2, computed with meta-GGA SCAN.

Results
Crystal system: cubic
E in eV/atom: -32.62

Cell lengths 6.8394, 6.8394, 6.8394 Å; angles 90.00, 90.00, 90.00 degrees
Space group Fm-3m (No. 225)
Unique sites:
Ca  0.0000  0.0000  0.0000 [4 per cell]
Tm  0.0000  0.0000  0.5000 [4 per cell]
Pd  0.2500  0.2500  0.2500 [8 per cell]

***

A PBEsol-optimized structure of Cd2HgPd2, computed with meta-GGA SCAN.

Results
Crystal system: tetragonal
E in eV/atom: -39.20

Cell lengths 7.1194, 7.1194, 3.6218 Å; angles 90.00, 90.00, 90.00 degrees
Space group P4/mbm (No. 127)
Unique sites:
Cd  0.1582  0.3418  0.0000 [4 per cell]
Hg  0.0000  0.0000  0.5000 [2 per cell]
Pd  0.1390  0.6390  0.5000 [4 per cell]

***

A PBEsol-optimized structure of Ca2InPt, computed with meta-GGA SCAN.

Results
Crystal system: orthorhombic
E in eV/atom: -31.50

Cell lengths 4.3481, 4.2508, 11.1647 Å; angles 90.00, 90.00, 90.00 degrees
Space group Amm2 (No. 38)
Unique sites:
Ca  0.0000  0.0000  0.0000 [2 per cell]
Ca  0.5000  0.0000  0.2942 [2 per cell]
In  0.0000  0.0000  0.7087 [2 per cell]
Pt  0.5000  0.0000  0.5672 [2 per cell]

***

A PBEsol-optimized structure of Be3Pt4, computed with meta-GGA SCAN.

Results
Crystal system: tetragonal
E in eV/atom: -42.69

Cell lengths 2.7854, 2.7854, 21.4053 Å; angles 90.00, 90.00, 90.00 degrees
Space group I4/mmm (No. 139)
Unique sites:
Be  0.0000  0.0000  0.0000 [2 per cell]
Be  0.0000  0.0000  0.2774 [4 per cell]
Pt  0.0000  0.0000  0.1661 [4 per cell]
Pt  0.0000  0.0000  0.4337 [4 per cell]

***

A PBEsol-optimized structure of Ag4SbCl, computed with meta-GGA SCAN.

Results
Uncorrected formation energy in kJ per mole of atoms: 14
Crystal system: cubic

Cell lengths 7.7545, 7.7545, 7.7545 Å; angles 90.00, 90.00, 90.00 degrees
Space group F-43m (No. 216)
Unique sites:
Ag  0.1246  0.1246  0.1246 [16 per cell]
Sb  0.2500  0.2500  0.7500 [4 per cell]
Cl  0.0000  0.0000  0.5000 [4 per cell]

***

A PBEsol-optimized structure of KLa2Cd, computed with meta-GGA SCAN.

Results
Crystal system: tetragonal
E in eV/atom: -31.25

Cell lengths 3.7512, 3.7512, 10.3332 Å; angles 90.00, 90.00, 90.00 degrees
Space group P4mm (No. 99)
Unique sites:
K  0.0000  0.0000  0.0000 [1 per cell]
La  0.0000  0.0000  0.5737 [1 per cell]
La  0.5000  0.5000  0.3403 [1 per cell]
Cd  0.5000  0.5000  0.7590 [1 per cell]

***

A PBEsol-optimized structure of BaLa2Sb, computed with meta-GGA SCAN.

Results
Uncorrected formation energy in kJ per mole of atoms: -55
Crystal system: tetragonal

Cell lengths 4.1950, 4.1950, 8.3061 Å; angles 90.00, 90.00, 90.00 degrees
Space group P4mm (No. 99)
Unique sites:
Ba  0.0000  0.0000  0.0000 [1 per cell]
La  0.0000  0.0000  0.5822 [1 per cell]
La  0.5000  0.5000  0.3481 [1 per cell]
Sb  0.5000  0.5000  0.7445 [1 per cell]

***

A PBEsol-optimized structure of Cs2AlP3O10, computed with meta-GGA SCAN.

Results
Uncorrected formation energy in kJ per mole of atoms: -260
Crystal system: monoclinic

Cell lengths 12.3305, 8.9558, 9.4590 Å; angles 90.00, 94.95, 90.00 degrees
Space group P2_1/c (No. 14)
Unique sites:
Cs  0.0403  0.1085  0.2357 [4 per cell]
Cs  0.3559  0.1182  0.9994 [4 per cell]
Al  0.3514  0.6497  0.8559 [4 per cell]
P  0.1931  0.7127  0.5678 [4 per cell]
P  0.2400  0.0352  0.5752 [4 per cell]
P  0.4508  0.5810  0.1788 [4 per cell]
O  0.0791  0.6536  0.5522 [4 per cell]
O  0.1751  0.1690  0.6062 [4 per cell]
O  0.1802  0.6120  0.1216 [4 per cell]
O  0.2496  0.7206  0.4302 [4 per cell]
O  0.2667  0.6359  0.6840 [4 per cell]
O  0.2719  0.0173  0.4246 [4 per cell]
O  0.3515  0.0411  0.6788 [4 per cell]
O  0.4348  0.6873  0.3009 [4 per cell]
O  0.4424  0.6538  0.0334 [4 per cell]
O  0.4474  0.5101  0.7822 [4 per cell]

***

A PBEsol-optimized structure of AlCu2, computed with meta-GGA SCAN.

Results
Crystal system: tetragonal
E in eV/atom: -12.99

Cell lengths 3.6129, 3.6129, 22.4018 Å; angles 90.00, 90.00, 90.00 degrees
Space group I4_1/amd (No. 141, origin choice 2)
Unique sites:
Al  0.0000  0.2500  0.2955 [8 per cell]
Cu  0.0000  0.2500  0.1251 [8 per cell]
Cu  0.0000  0.2500  0.7909 [8 per cell]

***

A PBEsol-optimized structure of Mn2Al3, computed with meta-GGA SCAN.

Results
Crystal system: cubic
E in eV/atom: -12.20

Cell lengths 6.3317, 6.3317, 6.3317 Å; angles 90.00, 90.00, 90.00 degrees
Space group P4_132 (No. 213)
Unique sites:
Mn  0.0714  0.0714  0.0714 [8 per cell]
Al  0.0462  0.8750  0.7038 [12 per cell]

***

| no. | N(E_F) (states/eV/cell) | total magnetization (Bohr magnetons per cell) |
| --- | --- | --- |
| 1 | 1.620 | 0.00 |
| 2 | 7.720 | 0.00 |
| 3 | 3.317 | 0.00 |
| 4 | 4.254 | 0.00 |
| 5 | 4.568 | 0.00 |
| 6 | 12.864 | 0.00 |
| 7 | 2.761 | 0.90 |
| 8 | 5.091 | 0.00 |
| 9 | 0.000 | 0.00 |
| 10 | 5.613 | 0.00 |
| 11 | 10.224 | 0.00 |